(1)
## TePbBr2 (PBEsol)

Data for a relaxed TePbBr2 crystal.

a b c (Å): 3.7944 3.7944 7.9825
angles (deg): 90.00 90.00 90.00
Last column: nearest neighbours and their distance in Å.
Space group P4mm (No. 99)
Asymmetric unit:
Te (0.0000, 0.0000, 0.0000)  4 Br 3.15, 4 Pb 3.41
Pb (0.5000, 0.5000, 0.7372)  4 Br 3.13, 4 Te 3.41
Br (0.0000, 0.0000, 0.5361)  4 Pb 3.13
Br (0.5000, 0.5000, 0.2079)  4 Te 3.15

Computed properties:
The value obtained for the energy above the most stable polymorph in this dataset is 0.0 meV/atom. As for the raw formation energy: -0.184 eV per atom. The uncorrected energy comes out at -3.001 eV/atom. For the calculated volume, the calculation gives 114.9 Å³/cell.

***

(2)
## Te2PbBr (PBEsol)

Data for a relaxed Te2PbBr crystal.

a b c (Å): 4.2705 4.3600 7.8656
angles (deg): 90.00 90.00 90.00
Last column: nearest neighbours and their distance in Å.
Space group Pmm2 (No. 25)
Asymmetric unit:
Te (0.0000, 0.0000, 0.0000)  1 Pb 2.99, 4 Te 3.06
Te (0.5000, 0.5000, 0.0334)  4 Te 3.06
Pb (0.0000, 0.0000, 0.6197)  1 Te 2.99, 4 Br 3.09
Br (0.5000, 0.5000, 0.5573)  4 Pb 3.09

Computed properties:
The value obtained for the energy above the most stable polymorph in this dataset is 36.1 meV/atom. As for the raw formation energy: -0.220 eV per atom. The uncorrected energy comes out at -3.450 eV/atom. For the calculated volume, the calculation gives 146.5 Å³/cell.

***

(3)
## TePb2Br (PBEsol)

Data for a relaxed TePb2Br crystal.

a b c (Å): 3.8647 3.8647 7.7330
angles (deg): 90.00 90.00 90.00
Last column: nearest neighbours and their distance in Å.
Space group P4/mmm (No. 123)
Asymmetric unit:
Te (0.0000, 0.0000, 0.0000)  8 Pb 3.28
Pb (0.5000, 0.5000, 0.2338)  4 Te 3.28, 4 Br 3.42, 1 Pb 3.62
Br (0.0000, 0.0000, 0.5000)  8 Pb 3.42

Computed properties:
As for the raw formation energy: -0.376 eV per atom. The uncorrected energy comes out at -3.725 eV/atom. For the calculated volume, the calculation gives 115.5 Å³/cell.

***

(4)
## Te2PbBr (PBEsol)

Data for a relaxed Te2PbBr crystal.

a b c (Å): 9.7778 9.7778 5.6613
angles (deg): 90.00 90.00 90.00
Last column: nearest neighbours and their distance in Å.
Space group I-42d (No. 122)
Asymmetric unit:
Te (0.2023, 0.2500, 0.1250)  2 Te 2.98, 2 Pb 3.22
Pb (0.0000, 0.0000, 0.0000)  2 Br 2.83
Br (0.0000, 0.0000, 0.5000)  2 Pb 2.83

Computed properties:
The value obtained for the energy above the most stable polymorph in this dataset is 64.2 meV/atom. As for the raw formation energy: -0.192 eV per atom. The uncorrected energy comes out at -3.422 eV/atom. For the calculated volume, the calculation gives 541.2 Å³/cell.

***

(5)
## TePbBr2 (PBEsol)

Data for a relaxed TePbBr2 crystal.

a b c (Å): 7.5204 7.5204 7.5204
angles (deg): 90.00 90.00 90.00
Last column: nearest neighbours and their distance in Å.
Space group F-43m (No. 216)
Asymmetric unit:
Te (0.0000, 0.0000, 0.0000)  4 Br 3.26, 4 Pb 3.26
Pb (0.2500, 0.2500, 0.7500)  4 Br 3.26, 4 Te 3.26
Br (0.0000, 0.0000, 0.5000)  4 Pb 3.26, 4 Br 3.26
Br (0.2500, 0.2500, 0.2500)  4 Br 3.26, 4 Te 3.26

Computed properties:
The value obtained for the energy above the most stable polymorph in this dataset is 17.8 meV/atom. As for the raw formation energy: -0.167 eV per atom. The uncorrected energy comes out at -2.983 eV/atom. For the calculated volume, the calculation gives 425.3 Å³/cell.

***

(6)
## Te2PbBr (PBEsol)

Data for a relaxed Te2PbBr crystal.

a b c (Å): 3.3713 3.3713 33.6910
angles (deg): 90.00 90.00 120.00
Last column: nearest neighbours and their distance in Å.
Space group R-3m (No. 166, hexagonal axes)
Asymmetric unit:
Te (0.0000, 0.0000, 0.0917)  1 Pb 3.09, 3 Br 3.19, 6 Te 3.37
Pb (0.0000, 0.0000, 0.0000)  2 Te 3.09, 6 Pb 3.37
Br (0.0000, 0.0000, 0.5000)  6 Te 3.19, 6 Br 3.37

Computed properties:
The value obtained for the energy above the most stable polymorph in this dataset is 390.5 meV/atom. As for the raw formation energy: 0.134 eV per atom. The uncorrected energy comes out at -3.096 eV/atom. For the calculated volume, the calculation gives 331.6 Å³/cell.

***

(7)
## Tl2TePbBr (PBEsol)

Data for a relaxed Tl2TePbBr crystal.

a b c (Å): 6.1336 6.1336 5.6184
angles (deg): 90.00 90.00 90.00
Last column: nearest neighbours and their distance in Å.
Space group P4/mmm (No. 123)
Asymmetric unit:
Tl (0.0000, 0.5000, 0.0000)  2 Pb 3.07
Te (0.0000, 0.0000, 0.5000)  2 Pb 2.81
Pb (0.0000, 0.0000, 0.0000)  2 Te 2.81, 4 Tl 3.07
Br (0.5000, 0.5000, 0.5000)  8 Tl 4.16, 4 Te 4.34

Computed properties:
As for the raw formation energy: 0.141 eV per atom. The uncorrected energy comes out at -2.790 eV/atom. For the calculated volume, the calculation gives 211.4 Å³/cell.

***

(8)
## TlPb2Br (PBEsol)

Data for a relaxed TlPb2Br crystal.

a b c (Å): 5.4456 5.4456 7.6461
angles (deg): 90.00 90.00 90.00
Last column: nearest neighbours and their distance in Å.
Space group I-4m2 (No. 119)
Asymmetric unit:
Tl (0.0000, 0.0000, 0.0000)  4 Pb 3.33, 4 Br 3.33
Pb (0.0000, 0.0000, 0.5000)  4 Pb 3.33, 4 Br 3.33
Pb (0.0000, 0.5000, 0.7500)  4 Tl 3.33, 4 Pb 3.33
Br (0.0000, 0.5000, 0.2500)  4 Tl 3.33, 4 Pb 3.33

Computed properties:
As for the raw formation energy: -0.121 eV per atom. The uncorrected energy comes out at -3.245 eV/atom. For the calculated volume, the calculation gives 226.7 Å³/cell.